# SrAsAu

A relaxed SrAsAu crystal (GGA-PBE, the Alexandria database).

a b c (Å): 4.4960 4.4960 4.4049
angles (deg): 90.00 90.00 120.00
Space group P-6m2 (No. 187)
Symmetry-distinct sites (fractional):
Sr 0.0000 0.0000 0.0000 (multiplicity 1)
As 0.3333 0.6667 0.5000 (multiplicity 1)
Au 0.6667 0.3333 0.5000 (multiplicity 1)

Computed properties:
Calculated density (g cm⁻³): 7.742
Energy (eV per atom): -4.107
ΔH_f (0 K) (eV/f.u.): -2.7
Fermi-level density of states (states/eV/cell): 0.78

# SrAs2Au

A relaxed SrAs2Au crystal (GGA-PBE, the Alexandria database).

a b c (Å): 9.6080 4.7594 4.7918
angles (deg): 90.00 104.14 90.00
Space group C2/m (No. 12)
Symmetry-distinct sites (fractional):
Sr 0.0000 0.0000 0.0000 (multiplicity 2)
As 0.2353 0.5000 0.3687 (multiplicity 4)
Au 0.0000 0.5000 0.5000 (multiplicity 2)

Computed properties:
Calculated density (g cm⁻³): 6.790
Energy (eV per atom): -4.100
ΔH_f (0 K) (eV/f.u.): -2.1
Fermi-level density of states (states/eV/cell): 0.92

# SrAsAu

A relaxed SrAsAu crystal (GGA-PBE, the Alexandria database).

a b c (Å): 6.2902 6.2911 8.4932
angles (deg): 90.00 111.68 90.00
Space group C2 (No. 5)
Symmetry-distinct sites (fractional):
Sr 0.0000 0.0000 0.0000 (multiplicity 2)
Sr 0.0000 0.2496 0.5000 (multiplicity 2)
As 0.0835 0.4996 0.1656 (multiplicity 4)
Au 0.0857 0.7493 0.6721 (multiplicity 4)

Computed properties:
Calculated density (g cm⁻³): 7.646
Energy (eV per atom): -4.035
ΔH_f (0 K) (eV/f.u.): -2.5
Fermi-level density of states (states/eV/cell): 2.56